Entry 1:
Compound: AlH4NF4
Source: Alexandria
Functional: meta-GGA SCAN
Structure: PBEsol geometry

Cell and atoms, written as CIF:
```
data_AlH4NF4
_symmetry_space_group_name_H-M 'P 42/m b c'
_symmetry_Int_Tables_number 135
_symmetry_space_group_name_Hall '-P 4c 2ab'
_cell_length_a 5.0348
_cell_length_b 5.0348
_cell_length_c 12.6694
_cell_angle_alpha 90.00
_cell_angle_beta 90.00
_cell_angle_gamma 90.00
loop_
_atom_site_label
_atom_site_type_symbol
_atom_site_fract_x
_atom_site_fract_y
_atom_site_fract_z
Al1 Al 0.0000 0.5000 0.0000
H1 H 0.0012 0.1704 0.2031
N1 N 0.0000 0.0000 0.2500
F1 F 0.0000 0.5000 0.1410
F2 F 0.1972 0.1977 0.0000
```

***

Entry 2:
# meta-GGA SCAN YSb2Ir, PBEsol geometry
data_YSb2Ir
_symmetry_space_group_name_H-M 'F m -3 m'
_symmetry_Int_Tables_number 225
_symmetry_space_group_name_Hall '-F 4 2 3'
_cell_length_a 6.9584
_cell_length_b 6.9584
_cell_length_c 6.9584
_cell_angle_alpha 90.00
_cell_angle_beta 90.00
_cell_angle_gamma 90.00
loop_
_atom_site_label
_atom_site_type_symbol
_atom_site_fract_x
_atom_site_fract_y
_atom_site_fract_z
Y1 Y 0.0000 0.0000 0.0000
Sb1 Sb 0.2500 0.2500 0.2500
Ir1 Ir 0.0000 0.0000 0.5000
# formation energy from raw total energies	-16.0	kJ/mol of atoms

***

Entry 3:
# meta-GGA SCAN Cu2SiNi, PBEsol geometry
data_Cu2SiNi
_symmetry_space_group_name_H-M 'P 4 m m'
_symmetry_Int_Tables_number 99
_cell_length_a 2.8926
_cell_length_b 2.8926
_cell_length_c 5.3510
_cell_angle_alpha 90.00
_cell_angle_beta 90.00
_cell_angle_gamma 90.00
loop_
_symmetry_equiv_pos_as_xyz
'x,y,z'
'-y,x,z'
'-x,-y,z'
'y,-x,z'
'-x,y,z'
'y,x,z'
'x,-y,z'
'-y,-x,z'
loop_
_atom_site_label
_atom_site_type_symbol
_atom_site_fract_x
_atom_site_fract_y
_atom_site_fract_z
Cu1 Cu 0.0000 0.0000 0.0000
Cu2 Cu 0.5000 0.5000 0.2535
Si1 Si 0.5000 0.5000 0.7357
Ni1 Ni 0.0000 0.0000 0.5252
# formation energy from raw total energies	-13.8	kJ/mol of atoms

***

Entry 4:
Compound: LiScIn
Source: Alexandria
Functional: meta-GGA SCAN
Structure: PBEsol geometry

Cell and atoms, written as CIF:
```
data_LiScIn
_symmetry_space_group_name_H-M 'P -6 m 2'
_symmetry_Int_Tables_number 187
_symmetry_space_group_name_Hall 'P -6 2'
_cell_length_a 4.7075
_cell_length_b 4.7075
_cell_length_c 3.1655
_cell_angle_alpha 90.00
_cell_angle_beta 90.00
_cell_angle_gamma 120.00
loop_
_atom_site_label
_atom_site_type_symbol
_atom_site_fract_x
_atom_site_fract_y
_atom_site_fract_z
Li1 Li 0.0000 0.0000 0.0000
Sc1 Sc 0.6667 0.3333 0.5000
In1 In 0.3333 0.6667 0.0000
```

***

Entry 5:
Compound: ZrTa2As
Source: Alexandria
Functional: meta-GGA SCAN
Structure: PBEsol geometry

Cell and atoms, written as CIF:
```
data_ZrTa2As
_symmetry_space_group_name_H-M 'I -4 m 2'
_symmetry_Int_Tables_number 119
_symmetry_space_group_name_Hall 'I -4 -2'
_cell_length_a 4.1389
_cell_length_b 4.1389
_cell_length_c 8.3380
_cell_angle_alpha 90.00
_cell_angle_beta 90.00
_cell_angle_gamma 90.00
loop_
_atom_site_label
_atom_site_type_symbol
_atom_site_fract_x
_atom_site_fract_y
_atom_site_fract_z
Zr1 Zr 0.0000 0.0000 0.0000
Ta1 Ta 0.0000 0.0000 0.5000
Ta2 Ta 0.0000 0.5000 0.7500
As1 As 0.0000 0.5000 0.2500
```

***

Entry 6:
Compound: Sc2CrRh
Source: Alexandria
Functional: meta-GGA SCAN
Structure: PBEsol geometry

Cell and atoms, written as CIF:
```
data_Sc2CrRh
_symmetry_space_group_name_H-M 'R -3 m'
_symmetry_Int_Tables_number 166
_symmetry_space_group_name_Hall '-R 3 2"'
_cell_length_a 3.0489
_cell_length_b 3.0489
_cell_length_c 24.9293
_cell_angle_alpha 90.00
_cell_angle_beta 90.00
_cell_angle_gamma 120.00
loop_
_atom_site_label
_atom_site_type_symbol
_atom_site_fract_x
_atom_site_fract_y
_atom_site_fract_z
Sc1 Sc 0.0000 0.0000 0.2478
Cr1 Cr 0.0000 0.0000 0.0000
Rh1 Rh 0.0000 0.0000 0.5000
```

***

no.,total energy (eV/atom)
1,-6.64
2,-43.53
3,-14.29
4,-17.07
5,-46.10
6,-20.26